EuHo2Pt: optimized geometry, PBE.

Results
Its space group is P4/mmm (123). The value obtained for the excess energy over the best structure of this formula in the dataset is 0 meV/atom. For the formation energy from the elements, the calculation gives -0.58 eV/atom. The calculation puts the total DFT energy (no corrections) at -6.951 eV per atom.

abc: 3.555 3.555 9.041
angles: 90.00 90.00 90.00
Atoms (fractional coordinates):
Ho  0.000  0.000  0.179
Ho  0.000  0.000  0.821
Eu  0.500  0.500  0.500
Pt  0.500  0.500  0.000